Entry 1:
Entry from Alexandria via LeMat-Bulk: a geometry-optimized Be2Ag2I structure (PBE).

Lattice parameters (Å, degrees): 7.4399 7.4399 3.3968 90.00 90.00 90.00
With the nearest neighbours (Å) after each atom.
Fractional coordinates of all 10 atoms:
I (0.0000, 0.0000, 0.0000)  4 Ag 2.88
I (0.5000, 0.5000, 0.0000)  4 Ag 2.88
Ag (0.1391, 0.3609, 0.0000)  4 Be 2.51
Ag (0.6391, 0.1391, 0.0000)  4 Be 2.51
Ag (0.8609, 0.6391, 0.0000)  4 Be 2.51
Ag (0.3609, 0.8609, 0.0000)  4 Be 2.51
Be (0.8933, 0.3933, 0.5000)  1 Be 2.25, 4 Ag 2.51
Be (0.3933, 0.1067, 0.5000)  1 Be 2.25, 4 Ag 2.51
Be (0.6067, 0.8933, 0.5000)  1 Be 2.25, 4 Ag 2.51
Be (0.1067, 0.6067, 0.5000)  1 Be 2.25, 4 Ag 2.51

Calculated values
Polymorph energy (0 for the lowest one)   0.264 eV per atom
Calculated volume   94 Å³/f.u.
Uncorrected formation energy   0.637 eV/atom
DFT total energy   -2.30 eV per atom


Entry 2:
Entry from Alexandria via LeMat-Bulk: a geometry-optimized KBe2AgI structure (PBE).

Lattice parameters (Å, degrees): 4.6526 6.8631 4.6526 90.00 90.00 90.00
With the nearest neighbours (Å) after each atom.
Fractional coordinates of all 5 atoms:
I (0.5000, 0.5000, 0.5000)  4 K 3.29
Ag (0.0000, 0.0000, 0.0000)  4 Be 2.33
Be (0.5000, 0.0000, 0.0000)  2 Ag 2.33
Be (0.0000, 0.0000, 0.5000)  2 Ag 2.33
K (0.0000, 0.5000, 0.0000)  4 I 3.29, 2 Ag 3.43

Calculated values
Calculated volume   149 Å³/f.u.
Uncorrected formation energy   0.361 eV/atom
DFT total energy   -2.23 eV per atom


Entry 3:
Entry from Alexandria via LeMat-Bulk: a geometry-optimized LiBeAg2I structure (PBE).

Lattice parameters (Å, degrees): 5.5747 4.9946 5.5747 90.00 90.00 90.00
With the nearest neighbours (Å) after each atom.
Fractional coordinates of all 5 atoms:
Li (0.0000, 0.5000, 0.0000)  2 I 2.50
Be (0.5000, 0.5000, 0.5000)  8 Ag 3.74, 4 Li 3.94
Ag (0.5000, 0.0000, 0.0000)  2 I 2.79
Ag (0.0000, 0.0000, 0.5000)  2 I 2.79
I (0.0000, 0.0000, 0.0000)  2 Li 2.50, 4 Ag 2.79

Calculated values
Calculated volume   155 Å³/f.u.
Uncorrected formation energy   0.888 eV/atom
DFT total energy   -1.69 eV per atom


Entry 4:
Entry from Alexandria via LeMat-Bulk: a geometry-optimized Li2BeAgI structure (PBE).

Lattice parameters (Å, degrees): 5.1667 4.4978 5.1667 90.00 90.00 90.00
With the nearest neighbours (Å) after each atom.
Fractional coordinates of all 5 atoms:
Ag (0.0000, 0.0000, 0.0000)  2 Be 2.25
Li (0.0000, 0.0000, 0.5000)  2 Ag 2.58
Li (0.5000, 0.0000, 0.0000)  2 Ag 2.58
Be (0.0000, 0.5000, 0.0000)  2 Ag 2.25
I (0.5000, 0.5000, 0.5000)  8 Li 3.43, 4 Be 3.65

Calculated values
Calculated volume   120 Å³/f.u.
Uncorrected formation energy   0.099 eV/atom
DFT total energy   -2.29 eV per atom


Entry 5:
Entry from Alexandria via LeMat-Bulk: a geometry-optimized BeAgI2N structure (PBE).

Lattice parameters (Å, degrees): 6.2686 6.2686 3.0617 90.00 90.00 90.00
With the nearest neighbours (Å) after each atom.
Fractional coordinates of all 5 atoms:
N (0.0000, 0.0000, 0.5000)  2 Be 1.53
I (0.0000, 0.5000, 0.0000)  2 I 3.06, 2 Be 3.13
I (0.5000, 0.0000, 0.0000)  2 I 3.06, 2 Be 3.13
Ag (0.5000, 0.5000, 0.5000)  2 Ag 3.06
Be (0.0000, 0.0000, 0.0000)  2 N 1.53

Calculated values
Polymorph energy (0 for the lowest one)   0.000 eV per atom
Calculated volume   120 Å³/f.u.
Uncorrected formation energy   0.374 eV/atom
DFT total energy   -3.23 eV per atom


Entry 6:
Entry from Alexandria via LeMat-Bulk: a geometry-optimized BeAgIN2 structure (PBE).

Lattice parameters (Å, degrees): 3.9956 3.9956 7.9371 90.00 90.00 90.00
With the nearest neighbours (Å) after each atom.
Fractional coordinates of all 5 atoms:
N (0.5000, 0.0000, 0.0000)  2 Ag 2.00
N (0.0000, 0.5000, 0.0000)  2 Ag 2.00
Ag (0.0000, 0.0000, 0.0000)  4 N 2.00
Be (0.5000, 0.5000, 0.5000)  4 I 2.83
I (0.0000, 0.0000, 0.5000)  4 Be 2.83

Calculated values
Polymorph energy (0 for the lowest one)   0.609 eV per atom
Calculated volume   127 Å³/f.u.
Uncorrected formation energy   1.930 eV/atom
DFT total energy   -3.03 eV per atom


Entry 7:
Entry from Alexandria via LeMat-Bulk: a geometry-optimized BeAgI2N structure (PBE).

Lattice parameters (Å, degrees): 5.8026 5.8026 4.0755 90.00 90.00 90.00
With the nearest neighbours (Å) after each atom.
Fractional coordinates of all 5 atoms:
Ag (0.0000, 0.0000, 0.0000)  2 N 2.04
N (0.0000, 0.0000, 0.5000)  2 Ag 2.04
I (0.5000, 0.0000, 0.0000)  2 Ag 2.90
I (0.0000, 0.5000, 0.0000)  2 Ag 2.90
Be (0.5000, 0.5000, 0.5000)  8 I 3.55

Calculated values
Polymorph energy (0 for the lowest one)   0.951 eV per atom
Calculated volume   137 Å³/f.u.
Uncorrected formation energy   1.325 eV/atom
DFT total energy   -2.28 eV per atom


Entry 8:
Entry from Alexandria via LeMat-Bulk: a geometry-optimized Be2AgIN structure (PBE).

Lattice parameters (Å, degrees): 3.6852 9.3737 3.6852 90.00 90.00 90.00
With the nearest neighbours (Å) after each atom.
Fractional coordinates of all 5 atoms:
I (0.0000, 0.5000, 0.0000)  4 Ag 2.61
N (0.0000, 0.0000, 0.0000)  4 Be 1.84
Ag (0.5000, 0.5000, 0.5000)  4 I 2.61
Be (0.0000, 0.0000, 0.5000)  2 N 1.84
Be (0.5000, 0.0000, 0.0000)  2 N 1.84

Calculated values
Calculated volume   127 Å³/f.u.
Uncorrected formation energy   0.393 eV/atom
DFT total energy   -3.64 eV per atom


Entry 9:
Entry from Alexandria via LeMat-Bulk: a geometry-optimized BeAgIN2 structure (PBE).

Lattice parameters (Å, degrees): 3.8212 3.8212 6.0139 90.00 90.00 90.00
With the nearest neighbours (Å) after each atom.
Fractional coordinates of all 5 atoms:
Be (0.0000, 0.0000, 0.0000)  4 N 1.91
N (0.5000, 0.0000, 0.0000)  2 Be 1.91
N (0.0000, 0.5000, 0.0000)  2 Be 1.91
Ag (0.5000, 0.5000, 0.5000)  4 I 2.70
I (0.0000, 0.0000, 0.5000)  4 Ag 2.70, 2 Be 3.01

Calculated values
Polymorph energy (0 for the lowest one)   0.000 eV per atom
Calculated volume   88 Å³/f.u.
Uncorrected formation energy   1.321 eV/atom
DFT total energy   -3.64 eV per atom


Entry 10:
Entry from Alexandria via LeMat-Bulk: a geometry-optimized Rb2BeAgI6 structure (PBE).

Lattice parameters (Å, degrees): 8.6395 8.6395 8.3322 58.77 58.77 90.00
With the nearest neighbours (Å) after each atom.
Fractional coordinates of all 10 atoms:
I (0.6986, 0.6986, 0.6027)  1 Be 2.25
I (0.3014, 0.3014, 0.3973)  1 Be 2.25
I (0.2305, 0.2305, 0.0000)  1 Ag 2.82
I (0.2305, 0.7695, 0.0000)  1 Ag 2.82
I (0.7695, 0.7695, 0.0000)  1 Ag 2.82
I (0.7695, 0.2305, 0.0000)  1 Ag 2.82
Ag (0.0000, 0.0000, 0.0000)  4 I 2.82
Rb (0.7500, 0.2500, 0.5000)  12 I 4.17-4.36
Rb (0.2500, 0.7500, 0.5000)  12 I 4.17-4.36
Be (0.5000, 0.5000, 0.0000)  2 I 2.25

Calculated values
Calculated volume   423 Å³/f.u.
Uncorrected formation energy   -0.669 eV/atom
DFT total energy   -2.45 eV per atom


Entry 11:
Entry from Alexandria via LeMat-Bulk: a geometry-optimized BeAg2SI structure (PBE).

Lattice parameters (Å, degrees): 5.2850 3.8220 5.2850 90.00 90.00 90.00
With the nearest neighbours (Å) after each atom.
Fractional coordinates of all 5 atoms:
Be (0.0000, 0.0000, 0.0000)  2 S 1.91
S (0.0000, 0.5000, 0.0000)  2 Be 1.91
Ag (0.5000, 0.0000, 0.0000)  2 Be 2.64
Ag (0.0000, 0.0000, 0.5000)  2 Be 2.64
I (0.5000, 0.5000, 0.5000)  8 Ag 3.26

Calculated values
Calculated volume   107 Å³/f.u.
Uncorrected formation energy   0.214 eV/atom
DFT total energy   -2.81 eV per atom


Entry 12:
Entry from Alexandria via LeMat-Bulk: a geometry-optimized BeAgSbI2 structure (PBE).

Lattice parameters (Å, degrees): 5.5409 5.5409 4.7219 90.00 90.00 90.00
With the nearest neighbours (Å) after each atom.
Fractional coordinates of all 5 atoms:
Be (0.0000, 0.0000, 0.0000)  2 Sb 2.36
I (0.0000, 0.5000, 0.0000)  2 Be 2.77
I (0.5000, 0.0000, 0.0000)  2 Be 2.77
Sb (0.0000, 0.0000, 0.5000)  2 Be 2.36
Ag (0.5000, 0.5000, 0.5000)  8 I 3.64, 4 Sb 3.92

Calculated values
Polymorph energy (0 for the lowest one)   0.000 eV per atom
Calculated volume   145 Å³/f.u.
Uncorrected formation energy   0.470 eV/atom
DFT total energy   -2.29 eV per atom


Entry 13:
Entry from Alexandria via LeMat-Bulk: a geometry-optimized BeAgSbI2 structure (PBE).

Lattice parameters (Å, degrees): 5.7141 5.7141 5.4680 90.00 90.00 90.00
With the nearest neighbours (Å) after each atom.
Fractional coordinates of all 5 atoms:
Ag (0.0000, 0.0000, 0.0000)  2 Sb 2.73, 4 I 2.86
I (0.0000, 0.5000, 0.0000)  2 Ag 2.86
I (0.5000, 0.0000, 0.0000)  2 Ag 2.86
Be (0.5000, 0.5000, 0.5000)  8 I 3.95, 4 Sb 4.04
Sb (0.0000, 0.0000, 0.5000)  2 Ag 2.73

Calculated values
Polymorph energy (0 for the lowest one)   0.465 eV per atom
Calculated volume   179 Å³/f.u.
Uncorrected formation energy   0.934 eV/atom
DFT total energy   -1.83 eV per atom


Entry 14:
Entry from Alexandria via LeMat-Bulk: a geometry-optimized BeAgSb2I structure (PBE).

Lattice parameters (Å, degrees): 5.3951 5.3951 5.6724 90.00 90.00 90.00
With the nearest neighbours (Å) after each atom.
Fractional coordinates of all 5 atoms:
Sb (0.5000, 0.0000, 0.0000)  2 Ag 2.70
Sb (0.0000, 0.5000, 0.0000)  2 Ag 2.70
I (0.0000, 0.0000, 0.5000)  2 Ag 2.84
Be (0.5000, 0.5000, 0.5000)  4 I 3.81, 8 Sb 3.91
Ag (0.0000, 0.0000, 0.0000)  4 Sb 2.70, 2 I 2.84

Calculated values
Polymorph energy (0 for the lowest one)   0.545 eV per atom
Calculated volume   165 Å³/f.u.
Uncorrected formation energy   1.123 eV/atom
DFT total energy   -2.15 eV per atom